Entry 1:
Density functional theory data (PBE) for a relaxed structure of AlB2PdN.

Results
E ... -3.86 eV/atom
Theoretical density ... 3.59 g/cm³

POSCAR file:
```
AlB2PdN
1.0
4.0170 0.0000 0.0000
0.0000 4.0170 0.0000
0.0000 0.0000 4.8512
Al B Pd N
1 2 1 1
Direct
0.0000 0.0000 0.0000 Al
0.0000 0.5000 0.0000 B
0.5000 0.0000 0.0000 B
0.0000 0.0000 0.5000 Pd
0.5000 0.5000 0.5000 N
```



Entry 2:
Density functional theory data (PBE) for a relaxed structure of CsLaCd2Ir.

Results
ΔH_f (0 K) ... -193 meV/atom
Theoretical density ... 7.01 g/cm³

POSCAR file:
```
CsLaCd2Ir
1.0
5.5497 0.0000 0.0000
0.0000 5.5497 0.0000
0.0000 0.0000 5.2947
Cs La Cd Ir
1 1 2 1
Direct
0.0000 0.0000 0.0000 Cs
0.5000 0.5000 0.0000 La
0.0000 0.5000 0.5000 Cd
0.5000 0.0000 0.5000 Cd
0.5000 0.5000 0.5000 Ir
```



Entry 3:
Density functional theory data (PBE) for a relaxed structure of UHI.

Results
E ... -5.57 eV/atom
Theoretical density ... 9.78 g/cm³

POSCAR file:
```
UHI
1.0
5.3233 -1.8814 0.0000
5.3233 1.8814 0.0000
-3.5340 0.0000 6.2020
U H I
2 2 2
Direct
0.2037 0.2037 0.0674 U
0.7963 0.7963 0.9326 U
0.1722 0.1722 0.7578 H
0.8278 0.8278 0.2422 H
0.4295 0.4295 0.7032 I
0.5705 0.5705 0.2968 I
```



Entry 4:
Density functional theory data (PBE) for a relaxed structure of SrLaTl.

Results
ΔH_f (0 K) ... -270 meV/atom
Theoretical density ... 6.57 g/cm³

POSCAR file:
```
SrLaTl
1.0
2.0585 -9.2059 0.0000
2.0585 9.2059 0.0000
0.0000 0.0000 5.7496
Sr La Tl
2 2 2
Direct
0.0750 0.9250 0.7500 Sr
0.9250 0.0750 0.2500 Sr
0.2264 0.7736 0.2500 La
0.7736 0.2264 0.7500 La
0.4134 0.5866 0.7500 Tl
0.5866 0.4134 0.2500 Tl
```



Entry 5:
Density functional theory data (PBE) for a relaxed structure of HoMnFeGe2.

Results
ΔH_f (0 K) ... -480 meV/atom
Theoretical density ... 8.56 g/cm³

POSCAR file:
```
HoMnFeGe2
1.0
-1.9617 1.9617 5.3051
1.9617 -1.9617 5.3051
1.9617 1.9617 -5.3051
Ho Mn Fe Ge
1 1 1 2
Direct
0.0000 0.0000 0.0000 Ho
0.7500 0.2500 0.5000 Mn
0.2500 0.7500 0.5000 Fe
0.3793 0.3793 0.0000 Ge
0.6207 0.6207 0.0000 Ge
```



Entry 6:
Density functional theory data (PBE) for a relaxed structure of CrTcSbH2.

Results
E ... -5.52 eV/atom
Theoretical density ... 6.49 g/cm³

POSCAR file:
```
CrTcSbH2
1.0
3.6934 0.0000 0.0000
0.0000 3.6934 0.0000
0.0000 0.0000 5.1347
Cr Tc Sb H
1 1 1 2
Direct
0.0000 0.0000 0.0000 Cr
0.0000 0.0000 0.5000 Tc
0.5000 0.5000 0.5000 Sb
0.0000 0.5000 0.0000 H
0.5000 0.0000 0.0000 H
```



Entry 7:
Density functional theory data (PBE) for a relaxed structure of NaTl5I6.

Results
E ... -2.63 eV/atom
Theoretical density ... 5.83 g/cm³

POSCAR file:
```
NaTl5I6
1.0
4.2998 -7.4166 0.0000
4.2998 7.4166 0.0000
-2.8646 0.0000 8.0716
Na Tl I
1 5 6
Direct
0.0000 0.0000 0.0000 Na
0.1690 0.8310 0.5000 Tl
0.3338 0.6662 0.0000 Tl
0.5000 0.5000 0.5000 Tl
0.6662 0.3338 0.0000 Tl
0.8310 0.1690 0.5000 Tl
0.0788 0.3949 0.2379 I
0.2351 0.2351 0.7543 I
0.3949 0.0788 0.2379 I
0.6051 0.9212 0.7621 I
0.7649 0.7649 0.2457 I
0.9212 0.6051 0.7621 I
```



Entry 8:
Density functional theory data (PBE) for a relaxed structure of KCd2Ge.

Results
ΔH_f (0 K) ... 84 meV/atom
Theoretical density ... 3.73 g/cm³

POSCAR file:
```
KCd2Ge
1.0
-2.8789 2.8789 9.0299
2.8789 -2.8789 9.0299
2.8789 2.8789 -9.0299
K Cd Ge
2 4 2
Direct
0.0000 0.0000 0.0000 K
0.7500 0.2500 0.5000 K
0.3728 0.6250 0.2478 Cd
0.3750 0.6228 0.7478 Cd
0.3772 0.1250 0.7522 Cd
0.8750 0.6272 0.2522 Cd
0.2500 0.7500 0.5000 Ge
0.5000 0.5000 0.0000 Ge
```



Entry 9:
Density functional theory data (PBE) for a relaxed structure of Tm2Sc8Tl3.

Results
ΔH_f (0 K) ... 152 meV/atom
Theoretical density ... 6.25 g/cm³

POSCAR file:
```
Tm2Sc8Tl3
1.0
3.0057 1.7353 11.1206
-3.0057 1.7353 11.1206
0.0000 -3.4707 11.1206
Tm Sc Tl
2 8 3
Direct
0.1389 0.1389 0.1389 Tm
0.8611 0.8611 0.8611 Tm
0.2216 0.2216 0.7257 Sc
0.2216 0.7257 0.2216 Sc
0.2302 0.2302 0.2302 Sc
0.2743 0.7784 0.7784 Sc
0.7257 0.2216 0.2216 Sc
0.7698 0.7698 0.7698 Sc
0.7784 0.2743 0.7784 Sc
0.7784 0.7784 0.2743 Sc
0.3151 0.3151 0.3151 Tl
0.5000 0.5000 0.5000 Tl
0.6849 0.6849 0.6849 Tl
```



Entry 10:
Density functional theory data (PBE) for a relaxed structure of CsNa2HgAs.

Results
ΔH_f (0 K) ... -197 meV/atom
Theoretical density ... 4.01 g/cm³
Excess energy over the best structure of this formula in the dataset ... 0.028 eV/atom

POSCAR file:
```
CsNa2HgAs
1.0
5.7279 0.0000 0.0000
0.0000 5.7279 0.0000
0.0000 0.0000 5.7338
Cs Na Hg As
1 2 1 1
Direct
0.0000 0.0000 0.0000 Cs
0.0000 0.5000 0.5000 Na
0.5000 0.0000 0.5000 Na
0.5000 0.5000 0.0000 Hg
0.5000 0.5000 0.5000 As
```



Entry 11:
Density functional theory data (PBE) for a relaxed structure of Zn2TeAu.

Results
E ... -2.29 eV/atom
Theoretical density ... 8.32 g/cm³

POSCAR file:
```
Zn2TeAu
1.0
2.2423 -4.2623 0.0000
2.2423 4.2623 0.0000
0.0000 0.0000 4.7542
Zn Te Au
2 1 1
Direct
0.1831 0.8169 0.0000 Zn
0.8169 0.1831 0.0000 Zn
0.0000 0.0000 0.5000 Te
0.5000 0.5000 0.0000 Au
```



Entry 12:
Density functional theory data (PBE) for a relaxed structure of LiFeNiGe.

Results
ΔH_f (0 K) ... -162 meV/atom
Theoretical density ... 7.17 g/cm³

POSCAR file:
```
LiFeNiGe
1.0
0.0000 2.8222 2.8222
2.8222 0.0000 2.8222
2.8222 2.8222 0.0000
Li Fe Ni Ge
1 1 1 1
Direct
0.0000 0.0000 0.0000 Li
0.2500 0.2500 0.2500 Fe
0.7500 0.7500 0.7500 Ni
0.5000 0.5000 0.5000 Ge
```



Entry 13:
Density functional theory data (PBE) for a relaxed structure of Ta2AsPb2.

Results
ΔH_f (0 K) ... 804 meV/atom
Theoretical density ... 12.11 g/cm³
Excess energy over the best structure of this formula in the dataset ... 0.044 eV/atom

POSCAR file:
```
Ta2AsPb2
1.0
8.7457 0.0000 0.0000
0.0000 8.7457 0.0000
0.0000 0.0000 3.0532
Ta As Pb
4 2 4
Direct
0.1090 0.3910 0.0000 Ta
0.3910 0.8910 0.0000 Ta
0.6090 0.1090 0.0000 Ta
0.8910 0.6090 0.0000 Ta
0.0000 0.0000 0.5000 As
0.5000 0.5000 0.5000 As
0.1830 0.6830 0.5000 Pb
0.3170 0.1830 0.5000 Pb
0.6830 0.8170 0.5000 Pb
0.8170 0.3170 0.5000 Pb
```



Entry 14:
Density functional theory data (PBE) for a relaxed structure of BiTeRuN2.

Results
Theoretical density ... 6.97 g/cm³
Excess energy over the best structure of this formula in the dataset ... 0.794 eV/atom

POSCAR file:
```
BiTeRuN2
1.0
3.9347 0.0000 0.0000
0.0000 3.9347 0.0000
0.0000 0.0000 7.1610
Bi Te Ru N
1 1 1 2
Direct
0.0000 0.0000 0.0000 Bi
0.0000 0.0000 0.5000 Te
0.5000 0.5000 0.0000 Ru
0.0000 0.5000 0.5000 N
0.5000 0.0000 0.5000 N
```



Entry 15:
Density functional theory data (PBE) for a relaxed structure of CsNiW2.

Results
ΔH_f (0 K) ... 2148 meV/atom
Theoretical density ... 13.53 g/cm³
Excess energy over the best structure of this formula in the dataset ... 0.253 eV/atom

POSCAR file:
```
CsNiW2
1.0
0.0000 3.2494 3.2494
3.2494 0.0000 3.2494
3.2494 3.2494 0.0000
Cs Ni W
1 1 2
Direct
0.0000 0.0000 0.0000 Cs
0.5000 0.5000 0.5000 Ni
0.2500 0.2500 0.2500 W
0.7500 0.7500 0.7500 W
```



Entry 16:
Density functional theory data (PBE) for a relaxed structure of Ag2HgRhF8.

Results
E ... -3.73 eV/atom
Theoretical density ... 5.71 g/cm³

POSCAR file:
```
Ag2HgRhF8
1.0
5.1379 0.0000 0.0000
0.0000 7.2852 0.0000
-0.2833 0.0000 5.2164
Ag Hg Rh F
2 1 1 8
Direct
0.0000 0.2415 0.0000 Ag
0.0000 0.7585 0.0000 Ag
0.5000 0.5000 0.5000 Hg
0.5000 0.0000 0.5000 Rh
0.1911 0.5000 0.2092 F
0.2087 0.0000 0.2378 F
0.3330 0.2023 0.6870 F
0.3330 0.7977 0.6870 F
0.6670 0.2023 0.3130 F
0.6670 0.7977 0.3130 F
0.7913 0.0000 0.7622 F
0.8089 0.5000 0.7908 F
```



Entry 17:
Density functional theory data (PBE) for a relaxed structure of Ca2LaPt.

Results
ΔH_f (0 K) ... -158 meV/atom
Theoretical density ... 6.51 g/cm³
Excess energy over the best structure of this formula in the dataset ... 0.450 eV/atom

POSCAR file:
```
Ca2LaPt
1.0
0.0000 3.7524 3.7524
3.7524 0.0000 3.7524
3.7524 3.7524 0.0000
Ca La Pt
2 1 1
Direct
0.2500 0.2500 0.2500 Ca
0.7500 0.7500 0.7500 Ca
0.0000 0.0000 0.0000 La
0.5000 0.5000 0.5000 Pt
```



Entry 18:
Density functional theory data (PBE) for a relaxed structure of Cr2Pd2Br.

Results
Theoretical density ... 7.77 g/cm³
Excess energy over the best structure of this formula in the dataset ... 0.162 eV/atom

POSCAR file:
```
Cr2Pd2Br
1.0
7.4485 0.0000 0.0000
0.0000 7.4485 0.0000
0.0000 0.0000 3.0558
Cr Pd Br
4 4 2
Direct
0.0878 0.4122 0.0000 Cr
0.4122 0.9122 0.0000 Cr
0.5878 0.0878 0.0000 Cr
0.9122 0.5878 0.0000 Cr
0.1916 0.6916 0.5000 Pd
0.3084 0.1916 0.5000 Pd
0.6916 0.8084 0.5000 Pd
0.8084 0.3084 0.5000 Pd
0.0000 0.0000 0.5000 Br
0.5000 0.5000 0.5000 Br
```



Entry 19:
Density functional theory data (PBE) for a relaxed structure of MgTc4Ag.

Results
ΔH_f (0 K) ... 394 meV/atom
Theoretical density ... 8.81 g/cm³

POSCAR file:
```
MgTc4Ag
1.0
0.0000 3.6695 3.6695
3.6695 0.0000 3.6695
3.6695 3.6695 0.0000
Mg Tc Ag
1 4 1
Direct
0.0000 0.0000 0.0000 Mg
0.3753 0.3753 0.3753 Tc
0.3753 0.3753 0.8741 Tc
0.3753 0.8741 0.3753 Tc
0.8741 0.3753 0.3753 Tc
0.7500 0.7500 0.7500 Ag
```



Entry 20:
Density functional theory data (PBE) for a relaxed structure of Sr2CuTcN.

Results
E ... -5.34 eV/atom
Theoretical density ... 5.21 g/cm³

POSCAR file:
```
Sr2CuTcN
1.0
5.3823 0.0000 0.0000
0.0000 5.3823 0.0000
0.0000 0.0000 3.8606
Sr Cu Tc N
2 1 1 1
Direct
0.0000 0.5000 0.0000 Sr
0.5000 0.0000 0.0000 Sr
0.0000 0.0000 0.5000 Cu
0.5000 0.5000 0.5000 Tc
0.5000 0.5000 0.0000 N
```



Entry 21:
Density functional theory data (PBE) for a relaxed structure of Cs2KRbGa.

Results
ΔH_f (0 K) ... 150 meV/atom
Theoretical density ... 1.93 g/cm³
Excess energy over the best structure of this formula in the dataset ... 0.015 eV/atom

POSCAR file:
```
Cs2KRbGa
1.0
7.3680 0.0000 0.0000
0.0000 7.3680 0.0000
0.0000 0.0000 7.2843
Cs K Rb Ga
2 1 1 1
Direct
0.0000 0.5000 0.0000 Cs
0.5000 0.0000 0.0000 Cs
0.0000 0.0000 0.5000 K
0.5000 0.5000 0.5000 Rb
0.5000 0.5000 0.0000 Ga
```



Entry 22:
Density functional theory data (PBE) for a relaxed structure of SiSeCl.

Results
Theoretical density ... 2.09 g/cm³
Excess energy over the best structure of this formula in the dataset ... 0.024 eV/atom

POSCAR file:
```
SiSeCl
1.0
5.1922 -3.4641 0.0000
5.1922 3.4641 0.0000
-0.4336 0.0000 6.3019
Si Se Cl
2 2 2
Direct
0.0000 0.0000 0.0000 Si
0.5021 0.5021 0.0352 Si
0.2498 0.7689 0.2591 Se
0.7689 0.2498 0.2591 Se
0.3381 0.3381 0.8303 Cl
0.6538 0.6538 0.8396 Cl
```



Entry 23:
Density functional theory data (PBE) for a relaxed structure of ReOs2Se.

Results
E ... -8.75 eV/atom
Theoretical density ... 17.72 g/cm³

POSCAR file:
```
ReOs2Se
1.0
-2.0838 2.0838 3.4831
2.0838 -2.0838 3.4831
2.0838 2.0838 -3.4831
Re Os Se
1 2 1
Direct
0.0000 0.0000 0.0000 Re
0.5000 0.5000 0.0000 Os
0.7500 0.2500 0.5000 Os
0.2500 0.7500 0.5000 Se
```



Entry 24:
Density functional theory data (PBE) for a relaxed structure of Tb4TmTh.

Results
ΔH_f (0 K) ... 27 meV/atom
Theoretical density ... 9.05 g/cm³
Excess energy over the best structure of this formula in the dataset ... 0.000 eV/atom

POSCAR file:
```
Tb4TmTh
1.0
3.5474 0.0000 0.0000
1.7527 5.8938 0.0000
1.7626 1.6282 9.0945
Tb Tm Th
4 1 1
Direct
0.1649 0.0011 0.1695 Tb
0.1652 0.5051 0.6637 Tb
0.8348 0.4949 0.3363 Tb
0.8351 0.9989 0.8305 Tb
0.5000 0.5000 0.0000 Tm
0.5000 0.0000 0.5000 Th
```



Entry 25:
Density functional theory data (PBE) for a relaxed structure of Li2Ce2Pt3.

Results
ΔH_f (0 K) ... -748 meV/atom
Theoretical density ... 9.98 g/cm³
Excess energy over the best structure of this formula in the dataset ... 0.033 eV/atom

POSCAR file:
```
Li2Ce2Pt3
1.0
7.3998 -1.9706 0.0000
7.3998 1.9706 0.0000
-6.3872 0.0000 10.0357
Li Ce Pt
4 4 6
Direct
0.0392 0.0392 0.3246 Li
0.4185 0.4185 0.3438 Li
0.5815 0.5815 0.6562 Li
0.9608 0.9608 0.6754 Li
0.2705 0.2705 0.6650 Ce
0.3914 0.3914 0.0451 Ce
0.6086 0.6086 0.9549 Ce
0.7295 0.7295 0.3350 Ce
0.0838 0.0838 0.1361 Pt
0.1711 0.1711 0.8281 Pt
0.3704 0.3704 0.5176 Pt
0.6296 0.6296 0.4824 Pt
0.8289 0.8289 0.1719 Pt
0.9162 0.9162 0.8639 Pt
```